[1]
Here is a relaxed UAlGe2 crystal from the Alexandria database. Energies are from PBE.

a = 3.5260 Å, b = 3.5260 Å, c = 6.1955 Å
α = 90.00°, β = 90.00°, γ = 90.00°
Closest atoms and distances in Å follow each position.
Element x y z (fractional)
Ge 0.0000 0.0000 0.7876  1 Ge 2.63, 4 Al 2.82
Ge 0.0000 0.0000 0.2124  1 Ge 2.63, 4 Al 2.82
U 0.5000 0.5000 0.5000  8 Ge 3.06, 2 Al 3.10
Al 0.5000 0.5000 0.0000  8 Ge 2.82, 2 U 3.10

Values from the calculation:
crystal system: tetragonal
symmetry: P4/mmm, No. 123
energy above the most stable polymorph in this dataset: 0.2509 eV/atom

[2]
Here is a relaxed UAl2Ge crystal from the Alexandria database. Energies are from PBE.

a = 4.0731 Å, b = 4.0776 Å, c = 5.5537 Å
α = 111.54°, β = 111.51°, γ = 90.00°
Closest atoms and distances in Å follow each position.
Element x y z (fractional)
U 0.0000 0.0000 0.0000  4 Ge 2.88, 8 Al 3.13
Al 0.2499 0.7499 0.4997  4 Al 2.88, 4 Ge 3.13, 4 U 3.13
Al 0.7501 0.2501 0.5003  4 Al 2.88, 4 Ge 3.13, 4 U 3.13
Ge 0.5000 0.5000 0.0000  4 U 2.88, 8 Al 3.13

Values from the calculation:
crystal system: tetragonal
symmetry: I4/mmm, No. 139
energy above the most stable polymorph in this dataset: 0.1608 eV/atom

[3]
Here is a relaxed UAlGe2 crystal from the Alexandria database. Energies are from PBE.

a = 3.0106 Å, b = 3.0106 Å, c = 10.2492 Å
α = 81.55°, β = 81.55°, γ = 60.00°
Closest atoms and distances in Å follow each position.
Element x y z (fractional)
Ge 0.0973 0.0973 0.7081  3 Al 2.73, 1 U 2.95, 6 Ge 3.01
Ge 0.9027 0.9027 0.2919  3 Al 2.73, 1 U 2.95, 6 Ge 3.01
U 0.0000 0.0000 0.0000  2 Ge 2.95, 6 U 3.01
Al 0.5000 0.5000 0.5000  6 Ge 2.73, 6 Al 3.01

Values from the calculation:
crystal system: trigonal
symmetry: R-3m, No. 166
energy above the most stable polymorph in this dataset: 0.5925 eV/atom

[4]
Here is a relaxed UAlGe crystal from the Alexandria database. Energies are from PBE.

a = 5.7448 Å, b = 6.7542 Å, c = 6.7542 Å
α = 90.00°, β = 90.00°, γ = 90.00°
Closest atoms and distances in Å follow each position.
Element x y z (fractional)
Ge 0.0000 0.5000 0.7709  2 Al 2.58, 2 U 2.80
Ge 0.5000 0.2291 0.5000  2 Al 2.58, 2 U 2.80
Ge 0.5000 0.7709 0.5000  2 Al 2.58, 2 U 2.80
Ge 0.0000 0.5000 0.2291  2 Al 2.58, 2 U 2.80
U 0.0000 0.8144 0.5000  1 U 2.51, 2 Ge 2.80
U 0.5000 0.5000 0.8144  1 U 2.51, 2 Ge 2.80
U 0.5000 0.5000 0.1856  1 U 2.51, 2 Ge 2.80
U 0.0000 0.1856 0.5000  1 U 2.51, 2 Ge 2.80
Al 0.0000 0.8052 0.0000  2 Ge 2.58, 1 Al 2.63
Al 0.5000 0.0000 0.8052  2 Ge 2.58, 1 Al 2.63
Al 0.5000 0.0000 0.1948  2 Ge 2.58, 1 Al 2.63
Al 0.0000 0.1948 0.0000  2 Ge 2.58, 1 Al 2.63

Values from the calculation:
crystal system: tetragonal
symmetry: P4_2/mmc, No. 131

[5]
Here is a relaxed UAlGe2 crystal from the Alexandria database. Energies are from PBE.

a = 3.9941 Å, b = 4.3104 Å, c = 4.3104 Å
α = 90.00°, β = 90.00°, γ = 90.00°
Closest atoms and distances in Å follow each position.
Element x y z (fractional)
Ge 0.0000 0.0000 0.5000  4 U 2.94, 4 Al 2.94, 4 Ge 3.05
Ge 0.0000 0.5000 0.0000  4 U 2.94, 4 Al 2.94, 4 Ge 3.05
U 0.5000 0.5000 0.5000  8 Ge 2.94, 4 Al 3.05
Al 0.5000 0.0000 0.0000  8 Ge 2.94, 4 U 3.05

Values from the calculation:
crystal system: tetragonal
symmetry: P4/mmm, No. 123
energy above the most stable polymorph in this dataset: 0.0000 eV/atom

[6]
Here is a relaxed UAl4Ge crystal from the Alexandria database. Energies are from PBE.

a = 5.4338 Å, b = 5.4338 Å, c = 5.4338 Å
α = 60.00°, β = 60.00°, γ = 60.00°
Closest atoms and distances in Å follow each position.
Element x y z (fractional)
Ge 0.0000 0.0000 0.0000  12 Al 3.19, 4 U 3.33
U 0.2500 0.2500 0.2500  12 Al 3.19, 4 Ge 3.33
Al 0.6250 0.6250 0.1250  6 Al 2.72
Al 0.6250 0.1250 0.6250  6 Al 2.72
Al 0.6250 0.6250 0.6250  6 Al 2.72
Al 0.1250 0.6250 0.6250  6 Al 2.72

Values from the calculation:
crystal system: cubic
symmetry: F-43m, No. 216

Formation energy from the elements for the records above, in order: -6 -6 27 16 -30 9 kJ per mole of atoms